First-principles (PBE+U) data for WCN2F after structural relaxation, as listed in the Alexandria database.

Calculated values
The symmetry is P4/mmm. The offset from the most stable computed form is 0.147 eV per atom.

Geometry as POSCAR:
```
WCN2F
1.0
-0.888 1.352 -3.290
0.017 -3.389 -1.397
-3.171 -0.316 0.726
N W F C
2 1 1 1
direct
0.000 0.500 0.000
0.500 0.000 0.000
0.500 0.500 0.500
0.000 0.000 0.500
0.000 0.000 0.000
```